The following is a DFT calculation (PBE-GGA) of a relaxed Nd3DyY2Tm6 crystal.

M_tot ... 0.000 μB/cell
Crystal system ... monoclinic
Calculated formation energy ... 24 meV/atom
Density of states at the Fermi level ... 32.5 states/eV per cell

a = 6.1707 Å, b = 10.6804 Å, c = 11.7194 Å
α = 90.00°, β = 100.08°, γ = 90.00°
Space group C2/m (No. 12)
Inequivalent atoms, fractional coordinates:
Nd 0.0000 0.0000 0.0000
Nd 0.0000 0.3332 0.0000
Dy 0.0000 0.5000 0.5000
Y 0.0000 0.1666 0.5000
Tm 0.2486 0.3337 0.7472
Tm 0.2498 0.0000 0.7474



The following is a DFT calculation (PBE-GGA) of a relaxed BaY2GaBi crystal.

M_tot ... 0.000 μB/cell
Crystal system ... tetragonal
Calculated formation energy ... -69 meV/atom
Density of states at the Fermi level ... 3.8 states/eV per cell

a = 5.5396 Å, b = 5.5396 Å, c = 5.9787 Å
α = 90.00°, β = 90.00°, γ = 90.00°
Space group P4/mmm (No. 123)
Inequivalent atoms, fractional coordinates:
Ba 0.0000 0.0000 0.0000
Y 0.0000 0.5000 0.5000
Ga 0.5000 0.5000 0.5000
Bi 0.5000 0.5000 0.0000



The following is a DFT calculation (PBE-GGA) of a relaxed Pr8YTh2 crystal.

M_tot ... 0.000 μB/cell
Crystal system ... orthorhombic
Calculated formation energy ... 157 meV/atom
Density of states at the Fermi level ... 36.2 states/eV per cell

a = 5.7869 Å, b = 8.4013 Å, c = 16.1744 Å
α = 90.00°, β = 90.00°, γ = 90.00°
Space group Immm (No. 71)
Inequivalent atoms, fractional coordinates:
Pr 0.0000 0.0000 0.1595
Pr 0.0000 0.2049 0.3618
Pr 0.0000 0.2958 0.0000
Y 0.0000 0.5000 0.5000
Th 0.0000 0.5000 0.2012



The following is a DFT calculation (PBE-GGA) of a relaxed La2Sn4IrRh3 crystal.

M_tot ... 0.000 μB/cell
Crystal system ... tetragonal
Calculated formation energy ... -720 meV/atom
Density of states at the Fermi level ... 6.8 states/eV per cell

a = 4.5314 Å, b = 4.5314 Å, c = 10.8051 Å
α = 90.00°, β = 90.00°, γ = 90.00°
Space group P-4m2 (No. 115)
Inequivalent atoms, fractional coordinates:
La 0.0000 0.5000 0.2482
Sn 0.0000 0.0000 0.5000
Sn 0.0000 0.5000 0.8705
Sn 0.5000 0.5000 0.5000
Ir 0.5000 0.5000 0.0000
Rh 0.0000 0.0000 0.0000
Rh 0.0000 0.5000 0.6306



Number 1: V 760.5 Å³/cell, VASP energy -116.74 eV for the cell shown. Number 2: V 183.5 Å³/cell, VASP energy -22.11 eV for the cell shown. Number 3: V 786.3 Å³/cell, VASP energy -115.62 eV for the cell shown. Number 4: V 221.9 Å³/cell, VASP energy -63.98 eV for the cell shown.